[1]
DFT (PBE) results for a relaxed Rb2GaBr4 crystal.

Cell: 9.595 9.595 9.595 Å, 147.41 147.41 46.76°
Fractional coordinates of all 7 atoms:
Rb (0.143, 0.143, 0.000)
Rb (0.857, 0.857, 0.000)
Ga (0.500, 0.500, 0.000)
Br (0.000, 0.500, 0.500)
Br (0.340, 0.340, 0.000)
Br (0.500, 0.000, 0.500)
Br (0.660, 0.660, 0.000)

Summary:
ΔE to the lowest computed polymorph: 0.0000 eV/atom
volume: 255.4 Å³/f.u.
total DFT energy (no corrections): -2.94 eV/atom


[2]
DFT (PBE) results for a relaxed RbGa2Br crystal.

Cell: 12.431 12.431 12.431 Å, 157.85 157.85 31.52°
Fractional coordinates of all 8 atoms:
Rb (0.000, 0.000, 0.000)
Rb (0.750, 0.250, 0.500)
Ga (0.262, 0.625, 0.137)
Ga (0.375, 0.512, 0.637)
Ga (0.488, 0.125, 0.863)
Ga (0.875, 0.738, 0.363)
Br (0.250, 0.750, 0.500)
Br (0.500, 0.500, 0.000)

Summary:
ΔE to the lowest computed polymorph: 0.0000 eV/atom
volume: 136.4 Å³/f.u.
total DFT energy (no corrections): -2.58 eV/atom


[3]
DFT (PBE) results for a relaxed Rb4GaBr5 crystal.

Cell: 8.446 8.446 8.446 Å, 99.80 99.80 131.26°
Fractional coordinates of all 10 atoms:
Rb (0.098, 0.299, 0.397)
Rb (0.299, 0.902, 0.200)
Rb (0.701, 0.098, 0.800)
Rb (0.902, 0.701, 0.603)
Ga (0.518, 0.518, 0.000)
Br (0.212, 0.595, 0.806)
Br (0.405, 0.212, 0.617)
Br (0.595, 0.789, 0.383)
Br (0.789, 0.405, 0.194)
Br (0.924, 0.924, 0.000)

Summary:
volume: 412.6 Å³/f.u.
total DFT energy (no corrections): -3.03 eV/atom


[4]
DFT (PBE) results for a relaxed RbGaBr3 crystal.

Cell: 8.028 9.083 13.168 Å, 90.00 123.30 90.00°
Fractional coordinates of all 20 atoms:
Rb (0.220, 0.129, 0.254)
Rb (0.220, 0.371, 0.754)
Rb (0.780, 0.629, 0.246)
Rb (0.780, 0.871, 0.746)
Ga (0.122, 0.595, 0.060)
Ga (0.122, 0.905, 0.560)
Ga (0.878, 0.095, 0.440)
Ga (0.878, 0.405, 0.940)
Br (0.048, 0.190, 0.926)
Br (0.048, 0.310, 0.426)
Br (0.290, 0.687, 0.967)
Br (0.290, 0.813, 0.467)
Br (0.372, 0.519, 0.264)
Br (0.372, 0.981, 0.764)
Br (0.628, 0.019, 0.236)
Br (0.628, 0.481, 0.736)
Br (0.710, 0.187, 0.533)
Br (0.710, 0.313, 0.033)
Br (0.952, 0.690, 0.574)
Br (0.952, 0.810, 0.074)

Summary:
volume: 200.6 Å³/f.u.
total DFT energy (no corrections): -3.04 eV/atom


Short version: raw formation energy = -1.28 -0.41 -1.50 -1.23 eV/atom, in the order given.